No. 1
DFT (PBE) results for an optimized crystal structure of CsNbBrCl3.

- formation energy from raw total energies (eV/atom) = -1.3222
- symmetry = C2/c (15)

abc: 5.449 7.137 13.292
angles: 74.43 89.90 89.64
Fractional coordinates of all 12 atoms:
Cs: 0.250 0.216 0.569
Cs: 0.750 0.784 0.431
Br: 0.750 0.304 0.393
Br: 0.250 0.696 0.607
Cl: 0.907 0.731 0.069
Cl: 0.593 0.200 0.069
Cl: 0.407 0.800 0.931
Cl: 0.750 0.115 0.770
Cl: 0.250 0.885 0.230
Cl: 0.093 0.269 0.931
Nb: 0.250 0.977 0.047
Nb: 0.750 0.023 0.953

No. 2
DFT (PBE) results for an optimized crystal structure of TeMo2H.

- energy above the lowest structure with this stoichiometry (eV per atom) = 0.0000
- symmetry = I-42d (122)

abc: 4.904 4.904 6.378
angles: 67.39 67.39 90.00
Fractional coordinates of all 8 atoms:
Mo: 0.875 0.688 0.750
Mo: 0.312 0.625 0.250
Mo: 0.375 0.562 0.750
Mo: 0.438 0.125 0.250
Te: 0.750 0.250 0.500
Te: 0.000 0.000 0.000
H: 0.250 0.750 0.500
H: 0.500 0.500 0.000

No. 3
DFT (PBE) results for an optimized crystal structure of Ca3SiPt3.

- formation energy from raw total energies (eV/atom) = -0.9457
- symmetry = C2/m (12)

abc: 4.245 5.689 13.913
angles: 86.31 81.23 68.09
Fractional coordinates of all 14 atoms:
Si: 0.238 0.930 0.594
Si: 0.762 0.070 0.406
Pt: 0.850 0.756 0.544
Pt: 0.150 0.244 0.456
Pt: 0.066 0.118 0.751
Pt: 0.115 0.850 0.920
Pt: 0.934 0.882 0.249
Pt: 0.885 0.150 0.080
Ca: 0.246 0.281 0.226
Ca: 0.398 0.280 0.924
Ca: 0.479 0.660 0.381
Ca: 0.602 0.720 0.076
Ca: 0.754 0.719 0.774
Ca: 0.521 0.340 0.619

No. 4
DFT (PBE) results for an optimized crystal structure of CsY6Te8.

- formation energy from raw total energies (eV/atom) = -1.3860
- symmetry = P-3 (147)

abc: 4.445 11.764 11.764
angles: 120.00 90.00 90.00
Each line ends with the local moment (μB).
Fractional coordinates of all 15 atoms:
Y: 0.251 0.863 0.513  0.09
Y: 0.749 0.513 0.650  0.09
Y: 0.251 0.650 0.137  0.09
Y: 0.251 0.487 0.350  0.09
Y: 0.749 0.137 0.487  0.09
Y: 0.749 0.350 0.863  0.09
Te: 0.249 0.954 0.307  -0.01
Te: 0.249 0.693 0.647  -0.01
Te: 0.751 0.647 0.954  -0.01
Te: 0.751 0.046 0.693  -0.01
Te: 0.751 0.667 0.333  0.00
Te: 0.249 0.333 0.667  0.00
Te: 0.751 0.307 0.353  -0.01
Te: 0.249 0.353 0.046  -0.01
Cs: 0.500 0.000 0.000  0.00

No. 5
DFT (PBE) results for an optimized crystal structure of Li3Tc.

- energy above the lowest structure with this stoichiometry (eV per atom) = 0.0077
- symmetry = P-6m2 (187)

abc: 2.699 2.699 9.864
angles: 90.00 90.00 120.00
Fractional coordinates of all 4 atoms:
Li: 0.000 0.000 0.983
Li: 0.667 0.333 0.250
Li: 0.000 0.000 0.517
Tc: 0.667 0.333 0.750

The following E values (in eV for the cell shown) correspond, in order, to the records above: -52.14; -52.93; -72.34; -85.56; -15.44.
The following DOS(E_F) values (in states/eV per atom) correspond, in order, to the records above: 0.037; 0.517; 0.301; 0.786; 0.323.
The following calculated density values (in g/cm³) correspond, in order, to the records above: 2.7; 8.3; 7.9; 5.3; 3.2.